BaNiHg2: single point on PBEsol structure, meta-GGA SCAN.

a = 4.015 Å, b = 4.349 Å, c = 6.309 Å
α = 90.00°, β = 108.40°, γ = 90.00°
Sites, in units of the cell vectors:
Ba 0.000 0.000 0.000
Ni 0.379 0.500 0.759
Hg 0.275 0.000 0.544
Hg 0.713 0.500 0.422

## Properties
- E_form (meV/atom) = -45
- DOS at the Fermi energy (states/eV/cell) = 2.1
- crystal system = monoclinic

BaNiHg2: single point on PBEsol structure, meta-GGA SCAN.

a = 4.585 Å, b = 4.585 Å, c = 9.275 Å
α = 90.00°, β = 90.00°, γ = 90.00°
Sites, in units of the cell vectors:
Ba 0.000 0.000 0.000
Ba 0.500 0.500 0.500
Ni 0.000 0.000 0.500
Ni 0.500 0.500 0.000
Hg 0.000 0.500 0.250
Hg 0.000 0.500 0.750
Hg 0.500 0.000 0.250
Hg 0.500 0.000 0.750

## Properties
- E_form (meV/atom) = 59
- DOS at the Fermi energy (states/eV/cell) = 3.4
- crystal system = tetragonal

BaNiHg: single point on PBEsol structure, meta-GGA SCAN.

a = 3.621 Å, b = 3.621 Å, c = 11.074 Å
α = 90.00°, β = 90.00°, γ = 90.00°
Sites, in units of the cell vectors:
Ba 0.000 0.000 0.000
Ba 0.500 0.500 0.500
Ni 0.000 0.000 0.285
Ni 0.500 0.500 0.785
Hg 0.000 0.000 0.713
Hg 0.500 0.500 0.213

## Properties
- E_form (meV/atom) = 24
- DOS at the Fermi energy (states/eV/cell) = 5.8
- crystal system = tetragonal

BaNiHg2: single point on PBEsol structure, meta-GGA SCAN.

a = 4.367 Å, b = 4.367 Å, c = 5.204 Å
α = 90.00°, β = 90.00°, γ = 90.00°
Sites, in units of the cell vectors:
Ba 0.000 0.000 0.000
Ni 0.500 0.500 0.000
Hg 0.000 0.500 0.500
Hg 0.500 0.000 0.500

## Properties
- E_form (meV/atom) = 135
- DOS at the Fermi energy (states/eV/cell) = 2.8
- crystal system = tetragonal